1.
Computed, not measured: a relaxed structure of Cs2LiCdBi2 at the PBE level of DFT.

## Properties
space-group type: No. 72
E_form: -0.36 eV/atom
magnetization: 0.00 Bohr magnetons per cell

a = 7.299 Å, b = 7.392 Å, c = 10.324 Å
α = 110.98°, β = 110.70°, γ = 90.00°
Fractional positions:
Cd  0.500  0.750  0.000
Cd  0.500  0.250  0.000
Cs  0.583  0.833  0.665
Cs  0.917  0.667  0.335
Cs  0.083  0.333  0.665
Cs  0.417  0.167  0.335
Bi  0.663  0.412  0.824
Bi  0.161  0.912  0.824
Bi  0.839  0.088  0.176
Bi  0.337  0.588  0.176
Li  0.000  0.750  0.000
Li  0.000  0.250  0.000



2.
Computed, not measured: a relaxed structure of BaUAs3 at the PBE level of DFT.

## Properties
space-group type: No. 221
E_form: -0.69 eV/atom
magnetization: 0.00 Bohr magnetons per cell

a = 5.386 Å, b = 5.386 Å, c = 5.386 Å
α = 90.00°, β = 90.00°, γ = 90.00°
Fractional positions:
As  0.000  0.000  0.500
As  0.000  0.500  0.000
As  0.500  0.000  0.000
Ba  0.500  0.500  0.500
U  0.000  0.000  0.000



3.
Computed, not measured: a relaxed structure of Pm3In2Pt3 at the PBE level of DFT.

## Properties
space-group type: No. 193
E_form: -0.91 eV/atom
magnetization: 0.00 Bohr magnetons per cell

a = 5.983 Å, b = 8.616 Å, c = 8.616 Å
α = 120.00°, β = 90.00°, γ = 90.00°
Fractional positions:
In  0.000  0.667  0.333
In  0.500  0.333  0.667
In  0.500  0.667  0.333
In  0.000  0.333  0.667
Pt  0.250  0.000  0.380
Pt  0.250  0.620  0.620
Pt  0.250  0.380  0.000
Pt  0.750  0.380  0.380
Pt  0.750  0.620  0.000
Pt  0.750  0.000  0.620
Pm  0.750  0.716  0.716
Pm  0.250  0.000  0.716
Pm  0.250  0.716  0.000
Pm  0.750  0.284  0.000
Pm  0.750  0.000  0.284
Pm  0.250  0.284  0.284